Here is AcPaWO6 after structural relaxation from the Alexandria database. Energies are from GGA+U.

Results
VASP energy in eV for the cell shown: -154.20
Magnetic moment in μB per atom: 0.222

```
AcPaWO6
1.0
-4.863 1.790 -0.420
-1.397 -2.826 4.134
2.437 8.115 6.371
O Pa W Ac
12 2 2 2
Cartesian
-0.165 4.785 8.334
0.364 7.727 7.557
-3.723 1.808 4.667
-1.004 2.259 3.054
-0.159 5.295 5.489
-1.778 7.373 8.827
-3.686 2.382 1.729
-1.647 -0.333 4.408
-2.126 7.396 5.758
-3.065 5.011 3.509
-2.737 4.869 7.019
-0.785 1.975 6.504
1.625 5.411 4.248
-2.723 0.835 2.920
0.809 2.695 2.116
-1.102 6.234 7.159
0.008 0.027 0.021
-1.904 3.566 5.064
```